ReAuS3 | Alexandria | PBE | optimized geometry; ΔE to the lowest computed polymorph = 0.000 eV/atom; DFT total energy = -5.065 eV per atom; mass density = 8.0 g cm⁻³; formation energy from raw total energies = 0.56 eV per atom
1.0
-2.4900 3.0169 2.4793
1.2833 -2.1449 3.8989
3.6880 2.7832 0.3172
Re S Au
1 3 1
Direct
0.0000 0.0000 0.0000
0.0000 0.5000 0.0000
0.0000 0.0000 0.5000
0.5000 0.0000 0.0000
0.5000 0.5000 0.5000